[1]
Below is a geometry-optimized Th3Bi2As structure, with properties calculated at the GGA-PBE level.

Values from the calculation:
E in eV/atom: -6.622
M_tot in μB/atom: 0.000
ΔH_f (0 K) in eV/atom: -0.843

Unit cell a=7.7184 b=7.8448 c=7.7133 alpha=80.57 beta=59.98 gamma=70.87
Closest atoms and distances in Å follow each position.
Sites, in units of the cell vectors:
Th  0.5680  0.2275  0.3551  2 As 2.98-3.00, 3 Bi 3.22-3.34
Th  0.7148  0.7837  0.0000  2 As 2.99, 4 Bi 3.18-3.31
Th  0.4320  0.7725  0.6449  2 As 2.98-3.00, 3 Bi 3.22-3.34
Th  0.0769  0.7725  0.3551  2 As 2.98-3.00, 3 Bi 3.22-3.34
Th  0.9231  0.2275  0.6449  2 As 2.98-3.00, 3 Bi 3.22-3.34
Th  0.2852  0.2163  0.0000  2 As 2.99, 4 Bi 3.18-3.31
Bi  0.0000  0.0000  0.0000  6 Th 3.19-3.22
Bi  0.5000  0.5000  0.0000  6 Th 3.18-3.34
Bi  0.8435  0.5000  0.3130  6 Th 3.23-3.36
Bi  0.1565  0.5000  0.6870  6 Th 3.23-3.36
As  0.3302  0.0000  0.3395  6 Th 2.98-3.00
As  0.6698  0.0000  0.6605  6 Th 2.98-3.00

***

[2]
Below is a geometry-optimized Dy2HoTh3Se6 structure, with properties calculated at the GGA-PBE level.

Values from the calculation:
E in eV/atom: -6.380
M_tot in μB/atom: 0.000
Raw formation energy in meV per atom: -1634

Unit cell a=6.9209 b=6.9209 c=7.5719 alpha=98.75 beta=98.75 gamma=119.71
Closest atoms and distances in Å follow each position.
Sites, in units of the cell vectors:
Dy  0.3336  0.6664  0.0000  6 Se 2.86
Dy  0.6664  0.3336  0.0000  6 Se 2.86
Ho  0.0000  0.0000  0.0000  6 Se 2.85
Th  0.1674  0.8326  0.5000  6 Se 3.01
Th  0.8326  0.1674  0.5000  6 Se 3.01
Th  0.5000  0.5000  0.5000  6 Se 3.01-3.02
Se  0.9227  0.5904  0.7678  1 Ho 2.85, 2 Dy 2.86, 3 Th 3.01
Se  0.7458  0.7458  0.2332  1 Ho 2.85, 2 Dy 2.86, 3 Th 3.01-3.02
Se  0.0773  0.4096  0.2322  1 Ho 2.85, 2 Dy 2.86, 3 Th 3.01
Se  0.5904  0.9227  0.7678  1 Ho 2.85, 2 Dy 2.86, 3 Th 3.01
Se  0.2542  0.2542  0.7668  1 Ho 2.85, 2 Dy 2.86, 3 Th 3.01-3.02
Se  0.4096  0.0773  0.2322  1 Ho 2.85, 2 Dy 2.86, 3 Th 3.01

***

What did the second record say?
Below is a geometry-optimized Dy2HoTh3Se6 structure, with properties calculated at the GGA-PBE level.

Values from the calculation:
E in eV/atom: -6.380
M_tot in μB/atom: 0.000
Raw formation energy in meV per atom: -1634

Unit cell a=6.9209 b=6.9209 c=7.5719 alpha=98.75 beta=98.75 gamma=119.71
Closest atoms and distances in Å follow each position.
Sites, in units of the cell vectors:
Dy  0.3336  0.6664  0.0000  6 Se 2.86
Dy  0.6664  0.3336  0.0000  6 Se 2.86
Ho  0.0000  0.0000  0.0000  6 Se 2.85
Th  0.1674  0.8326  0.5000  6 Se 3.01
Th  0.8326  0.1674  0.5000  6 Se 3.01
Th  0.5000  0.5000  0.5000  6 Se 3.01-3.02
Se  0.9227  0.5904  0.7678  1 Ho 2.85, 2 Dy 2.86, 3 Th 3.01
Se  0.7458  0.7458  0.2332  1 Ho 2.85, 2 Dy 2.86, 3 Th 3.01-3.02
Se  0.0773  0.4096  0.2322  1 Ho 2.85, 2 Dy 2.86, 3 Th 3.01
Se  0.5904  0.9227  0.7678  1 Ho 2.85, 2 Dy 2.86, 3 Th 3.01
Se  0.2542  0.2542  0.7668  1 Ho 2.85, 2 Dy 2.86, 3 Th 3.01-3.02
Se  0.4096  0.0773  0.2322  1 Ho 2.85, 2 Dy 2.86, 3 Th 3.01